# 1
First-principles (GGA-PBE) data for a relaxed Mg4BiPb3 crystal, as listed in Alexandria via LeMat-Bulk.

Unit cell a=4.9198 b=4.9198 c=8.7883 alpha=90.00 beta=90.00 gamma=90.00
With the nearest neighbours (Å) after each atom.
Fractional positions:
Mg 0.0000 0.5000 0.2482  6 Pb 3.29-3.31, 2 Bi 3.31, 4 Mg 3.48
Mg 0.0000 0.5000 0.7518  6 Pb 3.29-3.31, 2 Bi 3.31, 4 Mg 3.48
Mg 0.5000 0.0000 0.2482  6 Pb 3.29-3.31, 2 Bi 3.31, 4 Mg 3.48
Mg 0.5000 0.0000 0.7518  6 Pb 3.29-3.31, 2 Bi 3.31, 4 Mg 3.48
Bi 0.0000 0.0000 0.5000  8 Mg 3.31, 4 Pb 3.48
Pb 0.0000 0.0000 0.0000  8 Mg 3.29, 4 Pb 3.48
Pb 0.5000 0.5000 0.0000  8 Mg 3.29, 4 Pb 3.48
Pb 0.5000 0.5000 0.5000  8 Mg 3.31, 4 Bi 3.48

Properties
Space group ... P4/mmm
Offset from the most stable computed form ... 0.000 eV/atom
Theoretical density ... 7.2 g cm⁻³
V ... 26.59 A^3/atom

# 2
First-principles (GGA-PBE) data for a relaxed InReAs2Se crystal, as listed in Alexandria via LeMat-Bulk.

Unit cell a=4.7178 b=4.7178 c=5.6358 alpha=90.00 beta=90.00 gamma=90.00
With the nearest neighbours (Å) after each atom.
Fractional positions:
In 0.0000 0.0000 0.0000  4 Se 3.34, 8 As 3.67
Re 0.5000 0.5000 0.5000  4 As 2.36
As 0.0000 0.5000 0.5000  2 Re 2.36
As 0.5000 0.0000 0.5000  2 Re 2.36
Se 0.5000 0.5000 0.0000  2 Re 2.82

Properties
Uncorrected formation energy ... 389.7 meV/atom
Space group ... P4/mmm
Offset from the most stable computed form ... 0.000 eV/atom
Theoretical density ... 7.0 g cm⁻³
V ... 25.09 A^3/atom

# 3
First-principles (GGA-PBE) data for a relaxed Pm2PaS4 crystal, as listed in Alexandria via LeMat-Bulk.

Unit cell a=7.4764 b=7.4764 c=7.0572 alpha=115.51 beta=115.51 gamma=31.31
With the nearest neighbours (Å) after each atom.
Fractional positions:
Pm 0.2230 0.2230 0.2213  6 S 2.80-2.89
Pm 0.7770 0.7770 0.7787  6 S 2.80-2.89
Pa 0.5000 0.5000 0.5000  6 S 2.72-2.78
S 0.1357 0.1357 0.5137  2 Pa 2.78, 3 Pm 2.86-2.88
S 0.3803 0.3803 0.0724  1 Pa 2.72, 3 Pm 2.80-2.89
S 0.6197 0.6197 0.9276  1 Pa 2.72, 3 Pm 2.80-2.89
S 0.8643 0.8643 0.4863  2 Pa 2.78, 3 Pm 2.86-2.88

Properties
Uncorrected formation energy ... -1775.0 meV/atom
Space group ... C2/m
Theoretical density ... 5.9 g cm⁻³
V ... 26.19 A^3/atom

# 4
First-principles (GGA-PBE) data for a relaxed PuThAl2 crystal, as listed in Alexandria via LeMat-Bulk.

Unit cell a=5.1576 b=5.1576 c=5.1576 alpha=60.00 beta=60.00 gamma=60.00
With the nearest neighbours (Å) after each atom.
Fractional positions:
Pu 0.0000 0.0000 0.0000  8 Al 3.16
Th 0.5000 0.5000 0.5000  8 Al 3.16
Al 0.2500 0.2500 0.2500  4 Th 3.16, 4 Pu 3.16
Al 0.7500 0.7500 0.7500  4 Th 3.16, 4 Pu 3.16

Properties
Space group ... Fm-3m
Offset from the most stable computed form ... 0.034 eV/atom
Theoretical density ... 9.1 g cm⁻³
V ... 24.25 A^3/atom

# 5
First-principles (GGA-PBE) data for a relaxed NdNiBiPd crystal, as listed in Alexandria via LeMat-Bulk.

Unit cell a=4.9014 b=4.9014 c=4.9014 alpha=60.00 beta=60.00 gamma=60.00
With the nearest neighbours (Å) after each atom.
Fractional positions:
Nd 0.0000 0.0000 0.0000  4 Ni 3.00, 4 Pd 3.00
Ni 0.2500 0.2500 0.2500  4 Bi 3.00, 4 Nd 3.00
Bi 0.5000 0.5000 0.5000  4 Pd 3.00, 4 Ni 3.00
Pd 0.7500 0.7500 0.7500  4 Nd 3.00, 4 Bi 3.00

Properties
Electronic total energy ... -21.4 eV/f.u.
Space group ... F-43m
Theoretical density ... 10.3 g cm⁻³
V ... 20.82 A^3/atom

# 6
First-principles (GGA-PBE) data for a relaxed Sm4Ru2N crystal, as listed in Alexandria via LeMat-Bulk.

Unit cell a=7.9421 b=7.9421 c=7.9421 alpha=145.22 beta=145.22 gamma=50.01
With the nearest neighbours (Å) after each atom.
Fractional positions:
Sm 0.0000 0.5000 0.5000  2 N 2.37
Sm 0.1823 0.1823 0.0000  1 N 2.62, 1 Ru 2.71
Sm 0.5000 0.0000 0.5000  2 N 2.37
Sm 0.8177 0.8177 0.0000  1 N 2.62, 1 Ru 2.71
Ru 0.3703 0.3703 0.0000  5 Sm 2.71-3.02
Ru 0.6297 0.6297 0.0000  5 Sm 2.71-3.02
N 0.0000 0.0000 0.0000  6 Sm 2.37-2.62

Properties
Uncorrected formation energy ... -304.2 meV/atom
Space group ... I4/mmm
Theoretical density ... 8.4 g cm⁻³
V ... 23.18 A^3/atom

# 7
First-principles (GGA-PBE) data for a relaxed Be2CrAg crystal, as listed in Alexandria via LeMat-Bulk.

Unit cell a=4.4597 b=4.4597 c=4.4597 alpha=130.57 beta=130.57 gamma=72.50
With the nearest neighbours (Å) after each atom.
Fractional positions:
Be 0.0000 0.0000 0.0000  4 Cr 2.59, 4 Be 2.59, 4 Ag 2.64
Be 0.7500 0.2500 0.5000  4 Be 2.59, 4 Ag 2.59, 4 Cr 2.64
Cr 0.2500 0.7500 0.5000  4 Ag 2.59, 8 Be 2.59-2.64
Ag 0.5000 0.5000 0.0000  4 Cr 2.59, 8 Be 2.59-2.64

Properties
Space group ... I-4m2
Offset from the most stable computed form ... 0.221 eV/atom
Theoretical density ... 5.9 g cm⁻³
V ... 12.51 A^3/atom

# 8
First-principles (GGA-PBE) data for a relaxed NaNdSn2S4 crystal, as listed in Alexandria via LeMat-Bulk.

Unit cell a=7.0400 b=4.1248 c=7.2303 alpha=90.00 beta=108.56 gamma=90.00
With the nearest neighbours (Å) after each atom.
Fractional positions:
Na 0.0000 0.0000 0.0000  6 S 2.89-2.95
Nd 0.5000 0.5000 0.0000  6 S 2.83-2.87
Sn 0.0000 0.5000 0.5000  6 S 2.96-2.99
Sn 0.5000 0.0000 0.5000  6 S 2.90-2.92
S 0.2585 0.5000 0.2473  1 Nd 2.83, 3 Sn 2.92-2.96, 2 Na 2.95
S 0.2592 0.0000 0.7600  2 Nd 2.87, 1 Na 2.89, 3 Sn 2.90-2.99
S 0.7408 0.0000 0.2400  2 Nd 2.87, 1 Na 2.89, 3 Sn 2.90-2.99
S 0.7415 0.5000 0.7527  1 Nd 2.83, 3 Sn 2.92-2.96, 2 Na 2.95

Properties
Uncorrected formation energy ... -1047.4 meV/atom
Space group ... P2/m
Theoretical density ... 4.4 g cm⁻³
V ... 24.88 A^3/atom

# 9
First-principles (GGA-PBE) data for a relaxed Pr10Te3Pb3 crystal, as listed in Alexandria via LeMat-Bulk.

Unit cell a=9.4963 b=9.4963 c=6.6016 alpha=90.00 beta=90.00 gamma=120.00
With the nearest neighbours (Å) after each atom.
Fractional positions:
Pr 0.0000 0.2486 0.0000  3 Te 3.20-3.49, 2 Pb 3.56
Pr 0.0000 0.7515 0.5000  3 Pb 3.24-3.45, 2 Te 3.54
Pr 0.2485 0.2485 0.5000  3 Pb 3.24-3.45, 2 Te 3.54
Pr 0.2486 0.0000 0.0000  3 Te 3.20-3.49, 2 Pb 3.56
Pr 0.3333 0.6667 0.2490  2 Pr 3.29-3.31, 3 Pb 3.37, 3 Te 3.38
Pr 0.3333 0.6667 0.7510  2 Pr 3.29-3.31, 3 Pb 3.37, 3 Te 3.38
Pr 0.6667 0.3333 0.2490  2 Pr 3.29-3.31, 3 Pb 3.37, 3 Te 3.38
Pr 0.6667 0.3333 0.7510  2 Pr 3.29-3.31, 3 Pb 3.37, 3 Te 3.38
Pr 0.7514 0.7514 0.0000  3 Te 3.20-3.49, 2 Pb 3.56
Pr 0.7515 0.0000 0.5000  3 Pb 3.24-3.45, 2 Te 3.54
Te 0.0000 0.6166 0.0000  9 Pr 3.20-3.54
Te 0.3834 0.3834 0.0000  9 Pr 3.20-3.54
Te 0.6166 0.0000 0.0000  9 Pr 3.20-3.54
Pb 0.0000 0.3883 0.5000  9 Pr 3.24-3.56
Pb 0.3883 0.0000 0.5000  9 Pr 3.24-3.56
Pb 0.6117 0.6117 0.5000  9 Pr 3.24-3.56

Properties
Uncorrected formation energy ... -822.2 meV/atom
Space group ... P-62m
Theoretical density ... 7.8 g cm⁻³
V ... 32.22 A^3/atom

# 10
First-principles (GGA-PBE) data for a relaxed BeCu2Br5 crystal, as listed in Alexandria via LeMat-Bulk.

Unit cell a=7.3648 b=7.3648 c=6.3589 alpha=112.74 beta=112.74 gamma=55.52
With the nearest neighbours (Å) after each atom.
Fractional positions:
Be 0.0000 0.0000 0.0000  3 Br 2.18-2.37
Cu 0.4455 0.4455 0.9892  4 Br 2.43-2.47
Cu 0.9975 0.9975 0.5631  5 Br 2.48-2.65, 1 Be 2.76
Br 0.1176 0.6437 0.7062  2 Cu 2.43-2.65, 1 Be 2.45
Br 0.1579 0.1579 0.9615  1 Be 2.18
Br 0.2554 0.7802 0.2843  1 Be 2.37, 2 Cu 2.47-2.51
Br 0.6437 0.1176 0.7062  2 Cu 2.43-2.65, 1 Be 2.45
Br 0.7802 0.2554 0.2843  1 Be 2.37, 2 Cu 2.47-2.51

Properties
Uncorrected formation energy ... -445.2 meV/atom
Space group ... Cm
Theoretical density ... 3.5 g cm⁻³
V ... 31.97 A^3/atom

# 11
First-principles (GGA-PBE) data for a relaxed Tb4Tl2Zn crystal, as listed in Alexandria via LeMat-Bulk.

Unit cell a=9.0374 b=9.0374 c=9.0374 alpha=33.66 beta=33.66 gamma=33.66
With the nearest neighbours (Å) after each atom.
Fractional positions:
Tb 0.1245 0.1245 0.1245  4 Tl 3.17-3.19, 1 Zn 3.18
Tb 0.3752 0.3752 0.3752  3 Zn 3.20, 4 Tl 3.21-3.23
Tb 0.6248 0.6248 0.6248  3 Zn 3.20, 4 Tl 3.21-3.23
Tb 0.8755 0.8755 0.8755  4 Tl 3.17-3.19, 1 Zn 3.18
Tl 0.2486 0.2486 0.2486  8 Tb 3.17-3.23
Tl 0.7514 0.7514 0.7514  8 Tb 3.17-3.23
Zn 0.0000 0.0000 0.0000  8 Tb 3.18-3.20

Properties
Electronic total energy ... -26.0 eV/f.u.
Space group ... R-3m
Theoretical density ... 9.1 g cm⁻³
V ... 28.85 A^3/atom

# 12
First-principles (GGA-PBE) data for a relaxed LaSn2Ru2 crystal, as listed in Alexandria via LeMat-Bulk.

Unit cell a=4.9743 b=4.9743 c=5.1697 alpha=101.85 beta=101.85 gamma=60.91
With the nearest neighbours (Å) after each atom.
Fractional positions:
La 0.0000 0.0000 0.0000  6 Ru 3.04-3.15, 6 Sn 3.30-3.33
Sn 0.2865 0.2865 0.6727  3 Ru 2.67-2.81
Sn 0.7135 0.7135 0.3273  3 Ru 2.67-2.81
Ru 0.3762 0.3762 0.2122  3 Sn 2.67-2.81
Ru 0.6238 0.6238 0.7878  3 Sn 2.67-2.81

Properties
Electronic total energy ... -32.5 eV/f.u.
Space group ... C2/m
Theoretical density ... 8.8 g cm⁻³
V ... 21.71 A^3/atom